Model a:
# ZnCrCl, relaxed, DFT PBE-GGA
data_ZnCrCl
_cell_length_a 4.659
_cell_length_b 4.659
_cell_length_c 4.659
_cell_angle_alpha 60.00
_cell_angle_beta 60.00
_cell_angle_gamma 60.00
_symmetry_space_group_name_H-M 'P 1'
_symmetry_Int_Tables_number 1
_symmetry_space_group_name_Hall 'P 1'
loop_
_atom_site_label
_atom_site_type_symbol
_atom_site_fract_x
_atom_site_fract_y
_atom_site_fract_z
Cr1 Cr 0.500 0.500 0.500
Zn1 Zn 0.750 0.750 0.750
Cl1 Cl 0.000 0.000 0.000
# V (Å³/cell): 72
# Space-group type: F-43m (216)

***

Model b:
# ZnCrCl, relaxed, DFT PBE-GGA
data_ZnCrCl
_cell_length_a 6.262
_cell_length_b 6.266
_cell_length_c 3.175
_cell_angle_alpha 75.25
_cell_angle_beta 75.39
_cell_angle_gamma 29.36
_symmetry_space_group_name_H-M 'P 1'
_symmetry_Int_Tables_number 1
_symmetry_space_group_name_Hall 'P 1'
loop_
_atom_site_label
_atom_site_type_symbol
_atom_site_fract_x
_atom_site_fract_y
_atom_site_fract_z
Cr1 Cr 0.334 0.334 0.666
Zn1 Zn 0.701 0.701 0.299
Cl1 Cl 0.964 0.964 0.036
# V (Å³/cell): 59
# Space-group type: Fmm2 (42)

***

Which of the structures shown above is the most stable? The most stable is model b.